## CuH6C2SeCl (GGA-PBEsol)

Data for CuH6C2SeCl after structural relaxation.

Cell: 7.196 6.648 10.939 Å, 90.00 97.06 90.00°
Space group P2_1/c (No. 14)
Symmetry-distinct sites (fractional):
Cu1 0.001 0.044 0.381 [4 per cell]
H1 0.124 0.567 0.446 [4 per cell]
H2 0.303 0.018 0.856 [4 per cell]
H3 0.329 0.018 0.154 [4 per cell]
H4 0.342 0.705 0.453 [4 per cell]
H5 0.428 0.734 0.665 [4 per cell]
H6 0.453 0.571 0.799 [4 per cell]
C1 0.239 0.614 0.395 [4 per cell]
C2 0.363 0.613 0.714 [4 per cell]
Se1 0.128 0.713 0.762 [4 per cell]
Cl1 0.234 0.127 0.534 [4 per cell]

## Properties
uncorrected energy: -205.01 eV for the cell shown
size of the total moment: 0.0 μB per formula unit